Below is a geometry-optimized La3TbCd2 structure, with properties calculated at the GGA-PBE level.

The space group is P4/mmm (No. 123) and the conventional cell measures 3.8516, 3.8516 and 12.9754 Å, with angles of 90.00, 90.00 and 90.00 degrees. The asymmetric unit holds La at (0.0000, 0.0000, 0.0000), La at (0.0000, 0.0000, 0.3122), Tb at (0.5000, 0.5000, 0.5000) and Cd at (0.5000, 0.5000, 0.1591).

For the energy relative to the elements, the calculation gives -195 meV per atom. The total DFT energy (no corrections) is -0.27455 Ry/atom. The total magnetization is 0.258 μB/f.u.

---

Below is a geometry-optimized DyHo3 structure, with properties calculated at the GGA-PBE level.

The space group is Fm-3m (No. 225) and the conventional cell measures 7.9507, 7.9507 and 7.9507 Å, with angles of 90.00, 90.00 and 90.00 degrees. The asymmetric unit holds Dy at (0.0000, 0.0000, 0.0000), Ho at (0.0000, 0.0000, 0.5000) and Ho at (0.2500, 0.2500, 0.2500).

For the energy relative to the elements, the calculation gives 146 meV per atom. Its energy above the lowest structure with this stoichiometry is 0.142 eV per atom. The total DFT energy (no corrections) is -0.32618 Ry/atom. The total magnetization is 0.000 μB/f.u.

---

Below is a geometry-optimized AcSmHoAg structure, with properties calculated at the GGA-PBE level.

The space group is F-43m (No. 216) and the conventional cell measures 7.9116, 7.9116 and 7.9116 Å, with angles of 90.00, 90.00 and 90.00 degrees. The asymmetric unit holds Ac at (0.0000, 0.0000, 0.0000), Sm at (0.2500, 0.2500, 0.2500), Ho at (0.2500, 0.2500, 0.7500) and Ag at (0.0000, 0.0000, 0.5000).

For the energy relative to the elements, the calculation gives 176 meV per atom. The total DFT energy (no corrections) is -0.28575 Ry/atom. The total magnetization is 0.000 μB/f.u.

---

Below is a geometry-optimized CrNiH2 structure, with properties calculated at the GGA-PBE level.

The space group is Pmmn (No. 59, origin choice 2) and the conventional cell measures 2.6404, 4.3137 and 4.6352 Å, with angles of 90.00, 90.00 and 90.00 degrees. The asymmetric unit holds Cr at (0.2500, 0.2500, 0.0801), Ni at (0.2500, 0.7500, 0.4189) and H at (0.2500, 0.9998, 0.7595).

Its energy above the lowest structure with this stoichiometry is 0.000 eV per atom. The total DFT energy (no corrections) is -0.40814 Ry/atom. The total magnetization is 0.000 μB/f.u.

---

> Number 2 is which compound?

DyHo3

---

> Among the records above, which one has the highest total DFT energy (no corrections)?

La3TbCd2